1.
First-principles (PBE) data for crystalline Ho3Ag at its relaxed geometry, as listed in Alexandria.

Its energy above the lowest structure with this stoichiometry is 180 meV/atom. As for the formation energy: 65 meV/atom. For the total moment, the calculation gives 0.0 μB/cell. The density of states at the Fermi level is 3.80 states/eV/f.u.

The structure belongs to space group Fm-3m (No. 225); the cell edges are 7.562, 7.562 and 7.562 Å and the angles 90.00°, 90.00° and 90.00°. The inequivalent atoms are Ho at (0.000, 0.000, 0.000), Ho at (0.250, 0.250, 0.250) and Ag at (0.000, 0.000, 0.500).


2.
First-principles (PBE) data for crystalline Sm2ScIn3Se6 at its relaxed geometry, as listed in Alexandria.

For the total moment, the calculation gives 0.0 μB/cell. The uncorrected formation energy comes out at -1.25 eV per atom.

The structure belongs to space group C2/m (No. 12); the cell edges are 7.178, 12.407 and 8.062 Å and the angles 90.00°, 107.18° and 90.00°. The inequivalent atoms are Sm at (0.000, 0.166, 0.000), Sc at (0.000, 0.500, 0.000), In at (0.000, 0.000, 0.500), In at (0.000, 0.329, 0.500), Se at (0.227, 0.342, 0.206) and Se at (0.246, 0.500, 0.788).


3.
First-principles (PBE) data for crystalline CeScI5 at its relaxed geometry, as listed in Alexandria.

For the total moment, the calculation gives 4.0 μB/cell. The uncorrected formation energy comes out at -1.24 eV per atom. The density of states at the Fermi level is 8.94 states/eV/f.u.

The structure belongs to space group P2_1/m (No. 11); the cell edges are 11.116, 4.151 and 13.334 Å and the angles 90.00°, 96.29° and 90.00°. The inequivalent atoms are Ce at (0.054, 0.250, 0.180), Sc at (0.474, 0.750, 0.369), I at (0.006, 0.250, 0.652), I at (0.134, 0.250, 0.942), I at (0.284, 0.750, 0.186), I at (0.330, 0.250, 0.463) and I at (0.402, 0.750, 0.732).